1.
VASP calculation (PBE) on crystalline CdGa2Te2Se2 at its relaxed geometry.

## Properties
VASP energy ... -3.38 eV per atom
Calculated density ... 5222 kg/m3

a b c (Å): 7.102 7.102 6.017
angles (deg): 113.86 113.86 107.40
Fractional coordinates of all 7 atoms:
Cd (0.995, 0.005, 0.000)
Ga (0.494, 0.506, 0.000)
Ga (0.258, 0.742, 0.500)
Se (0.134, 0.409, 0.008)
Se (0.591, 0.866, 0.992)
Te (0.855, 0.577, 0.473)
Te (0.423, 0.145, 0.527)


2.
VASP calculation (PBE) on crystalline Cd2Ga2Si3 at its relaxed geometry.

## Properties
VASP energy ... -3.08 eV per atom
Calculated density ... 5273 kg/m3

a b c (Å): 8.281 8.281 8.281
angles (deg): 31.95 31.95 31.95
Fractional coordinates of all 7 atoms:
Cd (0.239, 0.239, 0.239)
Cd (0.762, 0.762, 0.762)
Ga (0.496, 0.496, 0.496)
Ga (0.986, 0.986, 0.986)
Si (0.367, 0.367, 0.367)
Si (0.653, 0.653, 0.653)
Si (0.872, 0.872, 0.872)


3.
VASP calculation (PBE) on crystalline CdGaSi at its relaxed geometry.

## Properties
VASP energy ... -2.88 eV per atom
Calculated density ... 5466 kg/m3

a b c (Å): 4.487 4.487 4.487
angles (deg): 60.00 60.00 60.00
Fractional coordinates of all 3 atoms:
Cd (0.250, 0.250, 0.250)
Ga (0.750, 0.750, 0.750)
Si (0.000, 0.000, 0.000)


4.
VASP calculation (PBE) on crystalline CdGa2Sn2 at its relaxed geometry.

## Properties
VASP energy ... -2.88 eV per atom
Calculated density ... 6355 kg/m3

a b c (Å): 6.525 6.525 6.525
angles (deg): 136.95 136.95 62.52
Fractional coordinates of all 5 atoms:
Cd (0.000, 0.000, 0.000)
Ga (0.390, 0.390, 0.000)
Ga (0.610, 0.610, 0.000)
Sn (0.750, 0.250, 0.500)
Sn (0.250, 0.750, 0.500)


5.
VASP calculation (PBE) on crystalline CdGaSn2 at its relaxed geometry.

## Properties
VASP energy ... -2.90 eV per atom
Calculated density ... 6982 kg/m3

a b c (Å): 5.206 5.206 5.206
angles (deg): 60.00 60.00 60.00
Fractional coordinates of all 4 atoms:
Cd (0.250, 0.250, 0.250)
Ga (0.000, 0.000, 0.000)
Sn (0.500, 0.500, 0.500)
Sn (0.750, 0.750, 0.750)


6.
VASP calculation (PBE) on crystalline Cd2Ga2Sn3 at its relaxed geometry.

## Properties
VASP energy ... -2.73 eV per atom
Calculated density ... 6559 kg/m3

a b c (Å): 8.675 8.675 8.675
angles (deg): 34.04 34.04 34.04
Fractional coordinates of all 7 atoms:
Cd (0.240, 0.240, 0.240)
Cd (0.756, 0.756, 0.756)
Ga (0.006, 0.006, 0.006)
Ga (0.496, 0.496, 0.496)
Sn (0.374, 0.374, 0.374)
Sn (0.626, 0.626, 0.626)
Sn (0.876, 0.876, 0.876)